(1)
Computed, not measured: crystalline BSb2Pt2 at its relaxed geometry at the PBE level of DFT.

abc: 5.564 5.564 6.629
angles: 90.00 90.00 90.00
Space group I4/mmm (No. 139)
Symmetry-distinct sites (fractional):
B: 0.000 0.000 0.000 x2
Sb: 0.000 0.500 0.250 x4
Pt: 0.000 0.000 0.290 x4

E above lowest polymorph in meV/atom: 107
Crystal system: tetragonal
Energy in eV/atom: -5.3590
D(E_F) in states/eV/atom: 0.489
Density in Mg/m³: 10.4
M_tot in μB/f.u.: 0.0
Formation energy (no corrections) in meV per atom: 42



(2)
Computed, not measured: crystalline UNbAs3 at its relaxed geometry at the PBE level of DFT.

abc: 12.076 5.836 5.770
angles: 90.00 90.00 90.00
Space group Pbcm (No. 57)
Symmetry-distinct sites (fractional):
U: 0.181 0.008 0.250 x4
Nb: 0.415 0.750 0.000 x4
As: 0.002 0.750 0.000 x4
As: 0.257 0.515 0.250 x4
As: 0.412 0.125 0.250 x4

Energy of formation in eV/atom: -0.55
Crystal system: orthorhombic
Energy in eV/atom: -7.6081
D(E_F) in states/eV/atom: 1.236
Density in Mg/m³: 9.1
M_tot in μB/f.u.: 2.3



(3)
Computed, not measured: crystalline TiIrF2 at its relaxed geometry at the PBE level of DFT.

abc: 5.871 5.871 5.871
angles: 90.00 90.00 90.00
Space group Fm-3m (No. 225)
Symmetry-distinct sites (fractional):
Ti: 0.000 0.000 0.000 x4
Ir: 0.000 0.000 0.500 x4
F: 0.250 0.250 0.250 x8

E above lowest polymorph in meV/atom: 1178
Crystal system: cubic
Energy in eV/atom: -5.4880
D(E_F) in states/eV/atom: 1.637
Density in Mg/m³: 9.1
M_tot in μB/f.u.: 0.8
Formation energy (no corrections) in meV per atom: -363



(4)
Computed, not measured: crystalline CeNd2Pt9 at its relaxed geometry at the PBE level of DFT.

abc: 5.4585 5.4585 26.8894
angles: 90.00 90.00 120.00
Space group R-3m (No. 166, hexagonal axes)
Symmetry-distinct sites (fractional):
Ce: 0.0000 0.0000 0.0000 x3
Nd: 0.0000 0.0000 0.1394 x6
Pt: 0.0000 0.0000 0.3328 x6
Pt: 0.0000 0.0000 0.5000 x3
Pt: 0.0031 0.5016 0.9156 x18

Energy of formation in eV/atom: -0.91
Crystal system: trigonal
Energy in eV/atom: -6.7340
D(E_F) in states/eV/atom: 1.095
Density in Mg/m³: 15.7
M_tot in μB/f.u.: 0.5



(5)
Computed, not measured: crystalline CaSc2IO8 at its relaxed geometry at the PBE level of DFT.

abc: 4.783 6.775 4.794
angles: 90.00 90.25 90.00
Space group P2/m (No. 10)
Symmetry-distinct sites (fractional):
Ca: 0.000 0.000 0.000 x1
Sc: 0.500 0.262 0.500 x2
I: 0.000 0.500 0.000 x1
O: 0.192 0.294 0.814 x4
O: 0.281 0.500 0.288 x2
O: 0.333 0.000 0.349 x2

Crystal system: monoclinic
Energy in eV/atom: -6.6774
D(E_F) in states/eV/atom: 0.005
Density in Mg/m³: 4.1
M_tot in μB/f.u.: 1.0
Formation energy (no corrections) in meV per atom: -2021



(6)
Computed, not measured: crystalline Pr2ErTm3Bi6 at its relaxed geometry at the PBE level of DFT.

abc: 19.629 4.509 9.010
angles: 90.00 103.16 90.00
Space group C2/m (No. 12)
Symmetry-distinct sites (fractional):
Pr: 0.166 0.000 0.332 x4
Er: 0.000 0.500 0.000 x2
Tm: 0.000 0.500 0.500 x2
Tm: 0.169 0.000 0.834 x4
Bi: 0.004 0.000 0.752 x4
Bi: 0.164 0.500 0.591 x4
Bi: 0.166 0.500 0.073 x4

Energy of formation in eV/atom: -0.84
Crystal system: monoclinic
Energy in eV/atom: -5.0739
D(E_F) in states/eV/atom: 0.168
Density in Mg/m³: 9.5
M_tot in μB/f.u.: 0.0



(7)
Computed, not measured: crystalline LiTl2In at its relaxed geometry at the PBE level of DFT.

abc: 4.570 4.570 9.917
angles: 90.00 90.00 90.00
Space group I-4m2 (No. 119)
Symmetry-distinct sites (fractional):
Li: 0.000 0.000 0.000 x2
Tl: 0.000 0.000 0.500 x2
Tl: 0.000 0.500 0.750 x2
In: 0.000 0.500 0.250 x2

Energy of formation in eV/atom: -0.08
Crystal system: tetragonal
Energy in eV/atom: -2.4231
D(E_F) in states/eV/atom: 0.421
Density in Mg/m³: 8.5
M_tot in μB/f.u.: 0.0



(8)
Computed, not measured: crystalline Ag2SnSe3 at its relaxed geometry at the PBE level of DFT.

abc: 8.691 26.241 12.050
angles: 90.00 90.00 90.00
Space group Fdd2 (No. 43)
Symmetry-distinct sites (fractional):
Ag: 0.000 0.000 0.000 x8
Ag: 0.000 0.000 0.482 x8
Ag: 0.018 0.327 0.493 x16
Sn: 0.014 0.166 0.491 x16
Se: 0.003 0.083 0.621 x16
Se: 0.006 0.413 0.609 x16
Se: 0.007 0.256 0.115 x16

Crystal system: orthorhombic
Energy in eV/atom: -3.6001
D(E_F) in states/eV/atom: 0.149
Density in Mg/m³: 5.5
M_tot in μB/f.u.: 0.0
Formation energy (no corrections) in meV per atom: -240



(9)
Computed, not measured: crystalline Li2CrTc at its relaxed geometry at the PBE level of DFT.

abc: 2.7621 2.7621 27.4831
angles: 90.00 90.00 120.00
Space group R3m (No. 160, hexagonal axes)
Symmetry-distinct sites (fractional):
Li: 0.0000 0.0000 0.0000 x3
Li: 0.0000 0.0000 0.2365 x3
Cr: 0.0000 0.0000 0.7508 x3
Tc: 0.0000 0.0000 0.4852 x3

Energy of formation in eV/atom: 0.29
E above lowest polymorph in meV/atom: 54
Crystal system: trigonal
Energy in eV/atom: -5.6618
D(E_F) in states/eV/atom: 0.965
Density in Mg/m³: 4.5
M_tot in μB/f.u.: 0.8



(10)
Computed, not measured: crystalline ZrTe2N at its relaxed geometry at the PBE level of DFT.

abc: 6.037 6.037 11.320
angles: 90.00 90.00 90.00
Space group I-42d (No. 122)
Symmetry-distinct sites (fractional):
Zr: 0.000 0.000 0.000 x4
Te: 0.178 0.250 0.625 x8
N: 0.000 0.000 0.500 x4

Crystal system: tetragonal
Energy in eV/atom: -5.1875
D(E_F) in states/eV/atom: 0.864
Density in Mg/m³: 5.8
M_tot in μB/f.u.: 0.0
Formation energy (no corrections) in meV per atom: 602



(11)
Computed, not measured: crystalline MoC2 at its relaxed geometry at the PBE level of DFT.

abc: 3.210 3.210 2.968
angles: 90.00 90.00 90.00
Space group P4/mmm (No. 123)
Symmetry-distinct sites (fractional):
Mo: 0.000 0.000 0.000 x1
C: 0.000 0.500 0.500 x2

Energy of formation in eV/atom: 1.49
E above lowest polymorph in meV/atom: 971
Crystal system: tetragonal
Energy in eV/atom: -8.2695
D(E_F) in states/eV/atom: 0.691
Density in Mg/m³: 6.5
M_tot in μB/f.u.: 0.0



(12)
Computed, not measured: crystalline CsV2SiC at its relaxed geometry at the PBE level of DFT.

abc: 5.117 5.117 5.399
angles: 90.00 90.00 90.00
Space group P4/mmm (No. 123)
Symmetry-distinct sites (fractional):
Cs: 0.000 0.000 0.000 x1
V: 0.000 0.500 0.000 x2
Si: 0.000 0.000 0.500 x1
C: 0.500 0.500 0.500 x1

Crystal system: tetragonal
Energy in eV/atom: -2.9503
D(E_F) in states/eV/atom: 1.492
Density in Mg/m³: 3.2
M_tot in μB/f.u.: 6.6
Formation energy (no corrections) in meV per atom: 3797



(13)
Computed, not measured: crystalline Ac3PrSe6 at its relaxed geometry at the PBE level of DFT.

abc: 7.451 8.121 13.275
angles: 90.00 123.06 90.00
Space group P2_1/c (No. 14)
Symmetry-distinct sites (fractional):
Ac: 0.000 0.000 0.000 x2
Ac: 0.290 0.091 0.752 x4
Pr: 0.500 0.000 0.500 x2
Se: 0.100 0.066 0.256 x4
Se: 0.267 0.685 0.082 x4
Se: 0.406 0.191 0.080 x4

E above lowest polymorph in meV/atom: 31
Crystal system: monoclinic
Energy in eV/atom: -5.7367
D(E_F) in states/eV/atom: 0.000
Density in Mg/m³: 6.4
M_tot in μB/f.u.: 0.0
Formation energy (no corrections) in meV per atom: -1935



(14)
Computed, not measured: crystalline NbSnPt at its relaxed geometry at the PBE level of DFT.

abc: 3.105 3.105 11.585
angles: 90.00 90.00 90.00
Space group I4mm (No. 107)
Symmetry-distinct sites (fractional):
Nb: 0.000 0.000 0.000 x2
Sn: 0.000 0.000 0.316 x2
Pt: 0.000 0.000 0.647 x2

Energy of formation in eV/atom: -0.28
Crystal system: tetragonal
Energy in eV/atom: -6.9876
D(E_F) in states/eV/atom: 0.773
Density in Mg/m³: 12.1
M_tot in μB/f.u.: 0.0



(15)
Computed, not measured: crystalline Na3SbPb3S8 at its relaxed geometry at the PBE level of DFT.

abc: 8.0830 8.0830 20.6441
angles: 90.00 90.00 120.00
Space group R-3m (No. 166, hexagonal axes)
Symmetry-distinct sites (fractional):
Na: 0.0000 0.5000 0.0000 x9
Sb: 0.0000 0.0000 0.5000 x3
Pb: 0.0000 0.5000 0.5000 x9
S: 0.0000 0.0000 0.2484 x6
S: 0.0415 0.5207 0.2403 x18

Crystal system: trigonal
Energy in eV/atom: -4.0213
D(E_F) in states/eV/atom: 0.559
Density in Mg/m³: 4.6
M_tot in μB/f.u.: 0.0
Formation energy (no corrections) in meV per atom: -540



(16)
Computed, not measured: crystalline GdH2Ir at its relaxed geometry at the PBE level of DFT.

abc: 4.0475 4.0475 11.3223
angles: 90.00 90.00 120.00
Space group R-3m (No. 166, hexagonal axes)
Symmetry-distinct sites (fractional):
Gd: 0.0000 0.0000 0.0000 x3
H: 0.0000 0.0000 0.3513 x6
Ir: 0.0000 0.0000 0.5000 x3

Crystal system: trigonal
Energy in eV/atom: -7.8826
Density in Mg/m³: 10.9
M_tot in μB/f.u.: 7.0



(17)
Computed, not measured: crystalline CeZnCuHg at its relaxed geometry at the PBE level of DFT.

abc: 6.830 6.830 6.830
angles: 90.00 90.00 90.00
Space group F-43m (No. 216)
Symmetry-distinct sites (fractional):
Ce: 0.000 0.000 0.000 x4
Zn: 0.250 0.250 0.250 x4
Cu: 0.250 0.250 0.750 x4
Hg: 0.000 0.000 0.500 x4

Energy of formation in eV/atom: -0.19
Crystal system: cubic
Energy in eV/atom: -3.0919
D(E_F) in states/eV/atom: 1.194
Density in Mg/m³: 9.8
M_tot in μB/f.u.: 0.5



(18)
Computed, not measured: crystalline GeBMo2Pd at its relaxed geometry at the PBE level of DFT.

abc: 4.888 4.888 3.817
angles: 90.00 90.00 90.00
Space group P4/mmm (No. 123)
Symmetry-distinct sites (fractional):
Ge: 0.000 0.000 0.000 x1
B: 0.500 0.500 0.000 x1
Mo: 0.000 0.500 0.500 x2
Pd: 0.500 0.500 0.500 x1

Energy of formation in eV/atom: 1.57
Crystal system: tetragonal
Energy in eV/atom: -6.0617
D(E_F) in states/eV/atom: 1.348
Density in Mg/m³: 7.0
M_tot in μB/f.u.: 1.9



(19)
Computed, not measured: crystalline Pa3S3F2 at its relaxed geometry at the PBE level of DFT.

abc: 8.0964 8.0964 5.4160
angles: 90.00 90.00 120.00
Space group P6_3/mcm (No. 193)
Symmetry-distinct sites (fractional):
Pa: 0.0000 0.3521 0.2500 x6
S: 0.0000 0.3094 0.7500 x6
F: 0.3333 0.6667 0.0000 x4

Crystal system: hexagonal
Energy in eV/atom: -7.4989
D(E_F) in states/eV/atom: 1.229
Density in Mg/m³: 8.9
M_tot in μB/f.u.: 0.0
Formation energy (no corrections) in meV per atom: -1922



(20)
Computed, not measured: crystalline Tb3SmDyTm at its relaxed geometry at the PBE level of DFT.

abc: 5.021 15.089 10.066
angles: 90.00 90.00 90.00
Space group Cmcm (No. 63)
Symmetry-distinct sites (fractional):
Tb: 0.000 0.167 0.000 x8
Tb: 0.000 0.332 0.250 x4
Sm: 0.000 0.001 0.250 x4
Dy: 0.000 0.500 0.000 x4
Tm: 0.000 0.333 0.750 x4

Energy of formation in eV/atom: 0.02
Crystal system: orthorhombic
Energy in eV/atom: -4.5958
D(E_F) in states/eV/atom: 1.368
Density in Mg/m³: 8.3
M_tot in μB/f.u.: 0.0